# CaZnSb2

A relaxed structure of CaZnSb2 (GGA-PBE, the Alexandria database).

ρ: 5.71 g/cm3
D(E_F): 0.45 states/eV per atom
energy relative to the elements, uncorrected: -0.35 eV/atom

Cell lengths 4.5486, 4.5604, 9.7791 Å; angles 90.00, 90.00, 90.00 degrees
Last column: nearest neighbours and their distance in Å.
Fractional coordinates of all 8 atoms:
Ca 0.0000 0.0000 0.0000  4 Zn 3.22, 8 Sb 3.34
Ca 0.5000 0.5000 0.5000  4 Zn 3.22, 8 Sb 3.34
Zn 0.0000 0.0000 0.5000  4 Ca 3.22, 8 Sb 3.34
Zn 0.5000 0.5000 0.0000  4 Ca 3.22, 8 Sb 3.34
Sb 0.0000 0.5000 0.2498  4 Sb 3.22, 4 Zn 3.34, 4 Ca 3.34
Sb 0.0000 0.5000 0.7502  4 Sb 3.22, 4 Zn 3.34, 4 Ca 3.34
Sb 0.5000 0.0000 0.2502  4 Sb 3.22, 4 Zn 3.34, 4 Ca 3.34
Sb 0.5000 0.0000 0.7498  4 Sb 3.22, 4 Zn 3.34, 4 Ca 3.34